[1]
Material: MgSiAg2
Method: DFT, PBE
State: relaxed

```
data_MgSiAg2
_chemical_formula_sum 'Mg1 Si1 Ag2'
_space_group_name_H-M_alt 'P 1 m 1'
_space_group_IT_number 6
_cell_length_a 2.9829
_cell_length_b 4.4337
_cell_length_c 5.4840
_cell_angle_alpha 90.00
_cell_angle_beta 104.58
_cell_angle_gamma 90.00
loop_
_space_group_symop_operation_xyz
'x,y,z'
'x,-y,z'
loop_
_atom_site_label
_atom_site_type_symbol
_atom_site_fract_x
_atom_site_fract_y
_atom_site_fract_z
Mg1 Mg 0.0000 0.0000 0.0000
Si1 Si 0.6007 0.5000 0.2217
Ag1 Ag 0.3516 0.5000 0.7128
Ag2 Ag 0.7306 0.0000 0.4749
```

Results
- raw formation energy (meV/atom) = 21
- energy (eV per atom) = -3.16
- magnetization (μB/atom) = 0.000
- DOS at the Fermi energy (states/eV/f.u.) = 0.886
- distance to the lowest polymorph of the same formula (meV/atom) = 5

***

[2]
Material: MgSiAg3
Method: DFT, PBE
State: relaxed

```
data_MgSiAg3
_chemical_formula_sum 'Mg1 Si1 Ag3'
_space_group_name_H-M_alt 'P m -3 m'
_space_group_IT_number 221
_space_group_name_Hall '-P 4 2 3'
_cell_length_a 4.8832
_cell_length_b 4.8832
_cell_length_c 4.8832
_cell_angle_alpha 90.00
_cell_angle_beta 90.00
_cell_angle_gamma 90.00
loop_
_atom_site_label
_atom_site_type_symbol
_atom_site_fract_x
_atom_site_fract_y
_atom_site_fract_z
Mg1 Mg 0.0000 0.0000 0.0000
Si1 Si 0.5000 0.5000 0.5000
Ag1 Ag 0.0000 0.0000 0.5000
```

Results
- raw formation energy (meV/atom) = 893
- energy (eV per atom) = -2.22
- magnetization (μB/atom) = 0.000
- DOS at the Fermi energy (states/eV/f.u.) = 2.467
- distance to the lowest polymorph of the same formula (meV/atom) = 621

***

[3]
Material: MgSi2Ag2
Method: DFT, PBE
State: relaxed

```
data_MgSi2Ag2
_chemical_formula_sum 'Mg2 Si4 Ag4'
_space_group_name_H-M_alt 'P 4/m b m'
_space_group_IT_number 127
_space_group_name_Hall '-P 4 2ab'
_cell_length_a 7.7365
_cell_length_b 7.7365
_cell_length_c 3.0793
_cell_angle_alpha 90.00
_cell_angle_beta 90.00
_cell_angle_gamma 90.00
loop_
_atom_site_label
_atom_site_type_symbol
_atom_site_fract_x
_atom_site_fract_y
_atom_site_fract_z
Mg1 Mg 0.0000 0.0000 0.0000
Si1 Si 0.1630 0.3370 0.0000
Ag1 Ag 0.1352 0.6352 0.5000
```

Results
- raw formation energy (meV/atom) = 302
- energy (eV per atom) = -3.33
- magnetization (μB/atom) = 0.000
- DOS at the Fermi energy (states/eV/f.u.) = 1.947

***

[4]
Material: MgSiAg2
Method: DFT, PBE
State: relaxed

```
data_MgSiAg2
_chemical_formula_sum 'Mg1 Si1 Ag2'
_space_group_name_H-M_alt 'P 4 m m'
_space_group_IT_number 99
_cell_length_a 3.4416
_cell_length_b 3.4416
_cell_length_c 5.9561
_cell_angle_alpha 90.00
_cell_angle_beta 90.00
_cell_angle_gamma 90.00
loop_
_space_group_symop_operation_xyz
'x,y,z'
'-y,x,z'
'-x,-y,z'
'y,-x,z'
'-x,y,z'
'y,x,z'
'x,-y,z'
'-y,-x,z'
loop_
_atom_site_label
_atom_site_type_symbol
_atom_site_fract_x
_atom_site_fract_y
_atom_site_fract_z
Mg1 Mg 0.0000 0.0000 0.0000
Si1 Si 0.5000 0.5000 0.2726
Ag1 Ag 0.0000 0.0000 0.4850
Ag2 Ag 0.5000 0.5000 0.7562
```

Results
- raw formation energy (meV/atom) = 62
- energy (eV per atom) = -3.12
- magnetization (μB/atom) = 0.000
- DOS at the Fermi energy (states/eV/f.u.) = 1.653
- distance to the lowest polymorph of the same formula (meV/atom) = 46

***

[5]
Material: Mg6SiAg12
Method: DFT, PBE
State: relaxed

```
data_Mg6SiAg12
_chemical_formula_sum 'Mg18 Si3 Ag36'
_space_group_name_H-M_alt 'R -3'
_space_group_IT_number 148
_space_group_name_Hall '-R 3'
_cell_length_a 10.1491
_cell_length_b 10.1491
_cell_length_c 11.8105
_cell_angle_alpha 90.00
_cell_angle_beta 90.00
_cell_angle_gamma 120.00
loop_
_atom_site_label
_atom_site_type_symbol
_atom_site_fract_x
_atom_site_fract_y
_atom_site_fract_z
Mg1 Mg 0.0185 0.5943 0.2098
Si1 Si 0.0000 0.0000 0.5000
Ag1 Ag 0.0351 0.8522 0.3197
Ag2 Ag 0.0560 0.2032 0.9077
```

Results
- raw formation energy (meV/atom) = -93
- energy (eV per atom) = -2.68
- magnetization (μB/atom) = 0.000
- DOS at the Fermi energy (states/eV/f.u.) = 6.864

***

[6]
Material: Mg4SiAg
Method: DFT, PBE
State: relaxed

```
data_Mg4SiAg
_chemical_formula_sum 'Mg16 Si4 Ag4'
_space_group_name_H-M_alt 'F -4 3 m'
_space_group_IT_number 216
_space_group_name_Hall 'F -4 2 3'
_cell_length_a 7.9686
_cell_length_b 7.9686
_cell_length_c 7.9686
_cell_angle_alpha 90.00
_cell_angle_beta 90.00
_cell_angle_gamma 90.00
loop_
_atom_site_label
_atom_site_type_symbol
_atom_site_fract_x
_atom_site_fract_y
_atom_site_fract_z
Mg1 Mg 0.1248 0.1248 0.1248
Si1 Si 0.2500 0.2500 0.7500
Ag1 Ag 0.0000 0.0000 0.5000
```

Results
- raw formation energy (meV/atom) = 283
- energy (eV per atom) = -2.16
- magnetization (μB/atom) = 0.000
- DOS at the Fermi energy (states/eV/f.u.) = 1.719

***

[7]
Material: MgSiAg2
Method: DFT, PBE
State: relaxed

```
data_MgSiAg2
_chemical_formula_sum 'Mg1 Si1 Ag2'
_space_group_name_H-M_alt 'P 4/m m m'
_space_group_IT_number 123
_space_group_name_Hall '-P 4 2'
_cell_length_a 4.1334
_cell_length_b 4.1334
_cell_length_c 4.0512
_cell_angle_alpha 90.00
_cell_angle_beta 90.00
_cell_angle_gamma 90.00
loop_
_atom_site_label
_atom_site_type_symbol
_atom_site_fract_x
_atom_site_fract_y
_atom_site_fract_z
Mg1 Mg 0.0000 0.0000 0.0000
Si1 Si 0.5000 0.5000 0.0000
Ag1 Ag 0.0000 0.5000 0.5000
```

Results
- raw formation energy (meV/atom) = 15
- energy (eV per atom) = -3.16
- magnetization (μB/atom) = 0.000
- DOS at the Fermi energy (states/eV/f.u.) = 1.566
- distance to the lowest polymorph of the same formula (meV/atom) = 0

***

[8]
Material: SmMgSiAg
Method: DFT, PBE
State: relaxed

```
data_SmMgSiAg
_chemical_formula_sum 'Sm4 Mg4 Si4 Ag4'
_space_group_name_H-M_alt 'F -4 3 m'
_space_group_IT_number 216
_space_group_name_Hall 'F -4 2 3'
_cell_length_a 6.9691
_cell_length_b 6.9691
_cell_length_c 6.9691
_cell_angle_alpha 90.00
_cell_angle_beta 90.00
_cell_angle_gamma 90.00
loop_
_atom_site_label
_atom_site_type_symbol
_atom_site_fract_x
_atom_site_fract_y
_atom_site_fract_z
Sm1 Sm 0.0000 0.0000 0.0000
Mg1 Mg 0.0000 0.0000 0.5000
Si1 Si 0.2500 0.2500 0.2500
Ag1 Ag 0.2500 0.2500 0.7500
```

Results
- raw formation energy (meV/atom) = -316
- energy (eV per atom) = -3.96
- magnetization (μB/atom) = 0.000
- DOS at the Fermi energy (states/eV/f.u.) = 1.830

***

[9]
Material: Mg2TaSiAg
Method: DFT, PBE
State: relaxed

```
data_Mg2TaSiAg
_chemical_formula_sum 'Mg2 Ta1 Si1 Ag1'
_space_group_name_H-M_alt 'P 4/m m m'
_space_group_IT_number 123
_space_group_name_Hall '-P 4 2'
_cell_length_a 5.3956
_cell_length_b 5.3956
_cell_length_c 4.8539
_cell_angle_alpha 90.00
_cell_angle_beta 90.00
_cell_angle_gamma 90.00
loop_
_atom_site_label
_atom_site_type_symbol
_atom_site_fract_x
_atom_site_fract_y
_atom_site_fract_z
Mg1 Mg 0.0000 0.5000 0.0000
Ta1 Ta 0.0000 0.0000 0.0000
Si1 Si 0.0000 0.0000 0.5000
Ag1 Ag 0.5000 0.5000 0.5000
```

Results
- raw formation energy (meV/atom) = 1106
- energy (eV per atom) = -3.56
- magnetization (μB/atom) = 0.271
- DOS at the Fermi energy (states/eV/f.u.) = 4.887
- distance to the lowest polymorph of the same formula (meV/atom) = 41

***

[10]
Material: Mg2TaSiAg
Method: DFT, PBE
State: relaxed

```
data_Mg2TaSiAg
_chemical_formula_sum 'Mg2 Ta1 Si1 Ag1'
_space_group_name_H-M_alt 'P 4/m m m'
_space_group_IT_number 123
_space_group_name_Hall '-P 4 2'
_cell_length_a 4.8415
_cell_length_b 4.8415
_cell_length_c 4.6650
_cell_angle_alpha 90.00
_cell_angle_beta 90.00
_cell_angle_gamma 90.00
loop_
_atom_site_label
_atom_site_type_symbol
_atom_site_fract_x
_atom_site_fract_y
_atom_site_fract_z
Mg1 Mg 0.0000 0.5000 0.0000
Ta1 Ta 0.0000 0.0000 0.5000
Si1 Si 0.5000 0.5000 0.0000
Ag1 Ag 0.5000 0.5000 0.5000
```

Results
- raw formation energy (meV/atom) = 1065
- energy (eV per atom) = -3.60
- magnetization (μB/atom) = 0.000
- DOS at the Fermi energy (states/eV/f.u.) = 3.524
- distance to the lowest polymorph of the same formula (meV/atom) = 0

***

[11]
Material: Mg2SiAgTe4
Method: DFT, PBE
State: relaxed

```
data_Mg2SiAgTe4
_chemical_formula_sum 'Mg8 Si4 Ag4 Te16'
_space_group_name_H-M_alt 'F m m 2'
_space_group_IT_number 42
_space_group_name_Hall 'F 2 -2'
_cell_length_a 9.2317
_cell_length_b 9.2472
_cell_length_c 12.5249
_cell_angle_alpha 90.00
_cell_angle_beta 90.00
_cell_angle_gamma 90.00
loop_
_atom_site_label
_atom_site_type_symbol
_atom_site_fract_x
_atom_site_fract_y
_atom_site_fract_z
Mg1 Mg 0.2500 0.2500 0.0000
Si1 Si 0.0000 0.0000 0.2497
Ag1 Ag 0.0000 0.0000 0.7503
Te1 Te 0.0000 0.2425 0.1296
Te2 Te 0.2419 0.0000 0.3707
```

Results
- raw formation energy (meV/atom) = -359
- energy (eV per atom) = -3.36
- magnetization (μB/atom) = 0.000
- DOS at the Fermi energy (states/eV/f.u.) = 4.585

***

[12]
Material: MgSiAgTe2
Method: DFT, PBE
State: relaxed

```
data_MgSiAgTe2
_chemical_formula_sum 'Mg1 Si1 Ag1 Te2'
_space_group_name_H-M_alt 'P 4/m m m'
_space_group_IT_number 123
_space_group_name_Hall '-P 4 2'
_cell_length_a 5.6731
_cell_length_b 5.6731
_cell_length_c 4.6045
_cell_angle_alpha 90.00
_cell_angle_beta 90.00
_cell_angle_gamma 90.00
loop_
_atom_site_label
_atom_site_type_symbol
_atom_site_fract_x
_atom_site_fract_y
_atom_site_fract_z
Mg1 Mg 0.0000 0.0000 0.0000
Si1 Si 0.5000 0.5000 0.0000
Ag1 Ag 0.5000 0.5000 0.5000
Te1 Te 0.0000 0.5000 0.5000
```

Results
- raw formation energy (meV/atom) = 490
- energy (eV per atom) = -2.74
- magnetization (μB/atom) = 0.000
- DOS at the Fermi energy (states/eV/f.u.) = 2.615